Record 1
A plane-wave DFT calculation with PBE was carried out for Ga3Ir after structural relaxation.

a b c (Å): 3.061 6.025 4.936
angles (deg): 127.61 108.06 90.00
Positions (direct):
Ir 0.000 0.098 0.000
Ga 0.316 0.632 0.632
Ga 0.500 0.438 0.000
Ga 0.684 0.999 0.368

- mass density (g/cm³) = 10.046
- calculated formation energy (eV per atom) = -0.30
- raw total energy (eV/atom) = -4.789

Record 2
A plane-wave DFT calculation with PBE was carried out for MnC5 after structural relaxation.

a b c (Å): 3.616 3.616 4.265
angles (deg): 90.00 90.00 120.00
Positions (direct):
Mn 0.000 0.000 0.500
C 0.769 0.000 0.000
C 0.231 0.231 0.000
C 0.000 0.769 0.000
C 0.667 0.333 0.500
C 0.333 0.667 0.500

- mass density (g/cm³) = 3.953
- calculated formation energy (eV per atom) = 2.69
- raw total energy (eV/atom) = -6.527
- E above lowest polymorph (eV/f.u.) = 10.78

Record 3
A plane-wave DFT calculation with PBE was carried out for TlPd3Se4 after structural relaxation.

a b c (Å): 6.616 6.957 9.025
angles (deg): 104.55 90.00 118.39
Positions (direct):
Tl 0.663 0.010 0.700
Tl 0.348 0.010 0.200
Se 0.263 0.172 0.952
Se 0.909 0.172 0.452
Se 0.548 0.432 0.642
Se 0.884 0.432 0.142
Se 0.112 0.582 0.844
Se 0.470 0.582 0.344
Se 0.094 0.815 0.546
Se 0.721 0.815 0.046
Pd 0.670 0.391 0.892
Pd 0.720 0.391 0.392
Pd 0.263 0.562 0.583
Pd 0.299 0.562 0.083
Pd 0.907 0.816 0.790
Pd 0.909 0.816 0.290

- mass density (g/cm³) = 7.961
- raw total energy (eV/atom) = -4.267
- E_form (uncorrected) (eV per atom) = -0.28